VASP calculation (PBE) on a relaxed ThCu2Rh4 crystal.

Cell and atoms, written as CIF:
```
data_ThCu2Rh4
_chemical_formula_sum 'Th2 Cu4 Rh8'
_cell_length_a 6.6520
_cell_length_b 6.6520
_cell_length_c 5.0989
_cell_angle_alpha 90.00
_cell_angle_beta 90.00
_cell_angle_gamma 90.00
_symmetry_space_group_name_H-M 'I 4/m m m'
_symmetry_Int_Tables_number 139
_symmetry_space_group_name_Hall '-I 4 2'
loop_
_atom_site_label
_atom_site_fract_x
_atom_site_fract_y
_atom_site_fract_z
Th1 0.0000 0.0000 0.0000
Cu1 0.0000 0.5000 0.2500
Rh1 0.1994 0.1994 0.5000
```

Results
Its formation energy is -0.29 eV/atom.



VASP calculation (PBE) on a relaxed Li4CaMg3 crystal.

Cell and atoms, written as CIF:
```
data_Li4CaMg3
_chemical_formula_sum 'Li8 Ca2 Mg6'
_cell_length_a 10.0044
_cell_length_b 7.3316
_cell_length_c 5.0054
_cell_angle_alpha 90.00
_cell_angle_beta 90.00
_cell_angle_gamma 90.00
_symmetry_space_group_name_H-M 'P m m a'
_symmetry_Int_Tables_number 51
loop_
_symmetry_equiv_pos_as_xyz
'x,y,z'
'-x,-y,-z'
'-x+1/2,-y,z'
'x+1/2,y,-z'
'x+1/2,-y,-z'
'-x+1/2,y,z'
'-x,y,-z'
'x,-y,z'
loop_
_atom_site_label
_atom_site_fract_x
_atom_site_fract_y
_atom_site_fract_z
Li1 0.0000 0.2221 0.0000
Li2 0.2500 0.2216 0.4973
Ca1 0.0000 0.5000 0.5000
Mg1 0.0000 0.0000 0.5000
Mg2 0.2500 0.0000 0.9971
Mg3 0.2500 0.5000 0.9987
```

Results
Its formation energy is -0.02 eV/atom.



VASP calculation (PBE) on a relaxed PuU2N3 crystal.

Cell and atoms, written as CIF:
```
data_PuU2N3
_chemical_formula_sum 'Pu2 U4 N6'
_cell_length_a 3.4466
_cell_length_b 4.8984
_cell_length_c 10.2678
_cell_angle_alpha 90.00
_cell_angle_beta 90.00
_cell_angle_gamma 90.00
_symmetry_space_group_name_H-M 'I m m m'
_symmetry_Int_Tables_number 71
_symmetry_space_group_name_Hall '-I 2 2'
loop_
_atom_site_label
_atom_site_fract_x
_atom_site_fract_y
_atom_site_fract_z
Pu1 0.0000 0.0000 0.0000
U1 0.0000 0.0000 0.3354
N1 0.0000 0.5000 0.0000
N2 0.0000 0.5000 0.3262
```

Results
The calculation puts the formation energy (no corrections) at -1.31 eV/atom.



VASP calculation (PBE) on a relaxed ZnCd4Hg2 crystal.

Cell and atoms, written as CIF:
```
data_ZnCd4Hg2
_chemical_formula_sum 'Zn2 Cd8 Hg4'
_cell_length_a 5.6052
_cell_length_b 3.2282
_cell_length_c 17.8835
_cell_angle_alpha 90.00
_cell_angle_beta 90.06
_cell_angle_gamma 90.00
_symmetry_space_group_name_H-M 'C 1 2/m 1'
_symmetry_Int_Tables_number 12
loop_
_symmetry_equiv_pos_as_xyz
'x,y,z'
'-x,-y,-z'
'-x,y,-z'
'x,-y,z'
'x+1/2,y+1/2,z'
'-x+1/2,-y+1/2,-z'
'-x+1/2,y+1/2,-z'
'x+1/2,-y+1/2,z'
loop_
_atom_site_label
_atom_site_fract_x
_atom_site_fract_y
_atom_site_fract_z
Zn1 0.0000 0.0000 0.0000
Cd1 0.1665 0.5000 0.4283
Cd2 0.1661 0.5000 0.8769
Hg1 0.1678 0.5000 0.7169
```

Results
Its formation energy is 0.06 eV/atom. The value obtained for the offset from the most stable computed form is 0.000 eV per formula unit.